(1)
Below is Li2SnPd2 after structural relaxation, with properties calculated at the PBE level.

Distance to the lowest polymorph of the same formula   98 meV per atom
E   -0.1507 Ha/atom
ΔH_f (0 K)   -0.456 eV per atom

Cell lengths 6.997, 6.997, 3.360 Å; angles 90.00, 90.00, 90.00 degrees
Space group P4/mbm (No. 127)
Symmetry-distinct sites (fractional):
Li 0.152 0.348 0.000 x4
Sn 0.000 0.000 0.500 x2
Pd 0.144 0.644 0.500 x4

=====

(2)
Below is Ti3Mn4Nb after structural relaxation, with properties calculated at the PBE level.

E   -0.3318 Ha/atom
ΔH_f (0 K)   -0.225 eV per atom

Cell lengths 3.016, 4.257, 8.463 Å; angles 90.00, 90.00, 90.00 degrees
Space group Pmmm (No. 47)
Symmetry-distinct sites (fractional):
Ti 0.000 0.000 0.000 x1
Ti 0.000 0.500 0.245 x2
Mn 0.500 0.000 0.247 x2
Mn 0.500 0.500 0.000 x1
Mn 0.500 0.500 0.500 x1
Nb 0.000 0.000 0.500 x1

=====

(3)
Below is PmPr3Pd2 after structural relaxation, with properties calculated at the PBE level.

Distance to the lowest polymorph of the same formula   10 meV per atom
E   -0.1955 Ha/atom
ΔH_f (0 K)   -0.406 eV per atom

Cell lengths 7.167, 14.230, 7.374 Å; angles 90.00, 90.00, 90.00 degrees
Space group Ibam (No. 72)
Symmetry-distinct sites (fractional):
Pm 0.000 0.000 0.000 x4
Pr 0.000 0.233 0.250 x8
Pr 0.000 0.500 0.250 x4
Pd 0.208 0.361 0.000 x8

=====

(4)
Below is ZrHg2As after structural relaxation, with properties calculated at the PBE level.

E   -0.1284 Ha/atom
ΔH_f (0 K)   -0.045 eV per atom

Cell lengths 5.625, 9.779, 3.164 Å; angles 90.00, 90.00, 90.00 degrees
Space group Cmmm (No. 65)
Symmetry-distinct sites (fractional):
Zr 0.000 0.000 0.000 x2
Hg 0.250 0.250 0.500 x4
As 0.000 0.500 0.000 x2